RbCa2TaW | PBE-GGA | optimized geometry

a = 5.5837 Å, b = 5.6632 Å, c = 5.5837 Å
α = 90.00°, β = 90.00°, γ = 90.00°
Sites, in units of the cell vectors:
Ca 0.0000 0.0000 0.5000
Ca 0.5000 0.0000 0.0000
Rb 0.0000 0.5000 0.0000
W 0.5000 0.5000 0.5000
Ta 0.0000 0.0000 0.0000

Its space-group type is P4/mmm (123). For the energy, the calculation gives -16.18 eV per cell.


RbCaZr2Ta | PBE-GGA | optimized geometry

a = 5.1506 Å, b = 5.1133 Å, c = 5.1506 Å
α = 90.00°, β = 90.00°, γ = 90.00°
Site moments in Bohr magnetons follow the coordinates.
Sites, in units of the cell vectors:
Ca 0.5000 0.5000 0.5000  0.00
Rb 0.0000 0.0000 0.0000  0.07
Zr 0.0000 0.0000 0.5000  0.30
Zr 0.5000 0.0000 0.0000  0.32
Ta 0.0000 0.5000 0.0000  0.54

Its space-group type is P4/mmm (123). For the energy, the calculation gives -21.32 eV per cell.


RbCaTc3 | PBE-GGA | optimized geometry

a = 4.8535 Å, b = 4.8535 Å, c = 4.8535 Å
α = 90.00°, β = 90.00°, γ = 90.00°
Site moments in Bohr magnetons follow the coordinates.
Sites, in units of the cell vectors:
Ca 0.5000 0.5000 0.5000  0.00
Tc 0.0000 0.5000 0.0000  1.38
Tc 0.0000 0.0000 0.5000  1.39
Tc 0.5000 0.0000 0.0000  1.20
Rb 0.0000 0.0000 0.0000  0.07

As for the energy above the lowest structure with this stoichiometry: 204 meV/atom. Its space-group type is Pm-3m (221). For the energy, the calculation gives -20.29 eV per cell.


RbCaTc3 | PBE-GGA | optimized geometry

a = 5.2845 Å, b = 5.2845 Å, c = 5.2845 Å
α = 90.00°, β = 90.00°, γ = 90.00°
Site moments in Bohr magnetons follow the coordinates.
Sites, in units of the cell vectors:
Ca 0.0000 0.0000 0.0000  -0.02
Tc 0.0000 0.5000 0.0000  2.71
Tc 0.0000 0.0000 0.5000  2.44
Tc 0.5000 0.0000 0.0000  2.95
Rb 0.5000 0.5000 0.5000  0.02

As for the energy above the lowest structure with this stoichiometry: 0 meV/atom. Its space-group type is Pm-3m (221). For the energy, the calculation gives -21.32 eV per cell.


RbCa2Tc | PBE-GGA | optimized geometry

a = 5.6172 Å, b = 5.6172 Å, c = 5.6172 Å
α = 60.00°, β = 60.00°, γ = 60.00°
Site moments in Bohr magnetons follow the coordinates.
Sites, in units of the cell vectors:
Ca 0.2500 0.2500 0.2500  -0.05
Ca 0.7500 0.7500 0.7500  -0.05
Tc 0.5000 0.5000 0.5000  1.89
Rb 0.0000 0.0000 0.0000  -0.02

As for the energy above the lowest structure with this stoichiometry: 0 meV/atom. Its space-group type is Fm-3m (225). For the energy, the calculation gives -11.68 eV per cell.


RbCa2Tc | PBE-GGA | optimized geometry

a = 8.0771 Å, b = 8.0771 Å, c = 8.0783 Å
α = 60.00°, β = 60.00°, γ = 90.00°
Sites, in units of the cell vectors:
Ca 0.8745 0.1250 0.2500
Ca 0.8755 0.6250 0.2500
Ca 0.3750 0.1255 0.7500
Ca 0.8750 0.1245 0.7500
Tc 0.0000 0.0000 0.0000
Tc 0.7500 0.2500 0.5000
Rb 0.5000 0.5000 0.0000
Rb 0.2500 0.7500 0.5000

As for the energy above the lowest structure with this stoichiometry: 84 meV/atom. Its space-group type is Fd-3m (227). For the energy, the calculation gives -22.68 eV per cell.